Below is a relaxed structure of GdZnSn2, with properties calculated at the PBE-GGA level.

Lattice parameters (Å, degrees): 4.386 4.386 9.870 90.00 90.00 90.00
Space group P4/nmm (No. 129, origin choice 2)
Symmetry-distinct sites (fractional):
Gd 0.250 0.250 0.248 [2 per cell]
Zn 0.250 0.750 0.000 [2 per cell]
Sn 0.250 0.250 0.816 [2 per cell]
Sn 0.250 0.750 0.500 [2 per cell]

calculated volume: 190 Å³ per cell
E_tot: -31.658 eV per cell

=====

Below is a relaxed structure of GdZrSn, with properties calculated at the PBE-GGA level.

Lattice parameters (Å, degrees): 7.219 7.219 7.219 90.00 90.00 90.00
Space group F-43m (No. 216)
Symmetry-distinct sites (fractional):
Gd 0.000 0.000 0.000 [4 per cell]
Zr 0.250 0.250 0.250 [4 per cell]
Sn 0.250 0.250 0.750 [4 per cell]

calculated volume: 376 Å³ per cell
E_tot: -62.719 eV per cell
E above lowest polymorph: 214 meV/atom

=====

Below is a relaxed structure of GdZrSn, with properties calculated at the PBE-GGA level.

Lattice parameters (Å, degrees): 7.133 7.133 7.133 90.00 90.00 90.00
Space group F-43m (No. 216)
Symmetry-distinct sites (fractional):
Gd 0.000 0.000 0.000 [4 per cell]
Zr 0.250 0.250 0.250 [4 per cell]
Sn 0.000 0.000 0.500 [4 per cell]

calculated volume: 363 Å³ per cell
E_tot: -65.282 eV per cell
E above lowest polymorph: 0 meV/atom

=====

Below is a relaxed structure of SrGd2, with properties calculated at the PBE-GGA level.

Lattice parameters (Å, degrees): 9.845 9.845 9.845 90.00 90.00 90.00
Space group Fd-3m (No. 227, origin choice 2)
Symmetry-distinct sites (fractional):
Sr 0.125 0.125 0.125 [8 per cell]
Gd 0.000 0.000 0.500 [16 per cell]

calculated volume: 954 Å³ per cell
E_tot: -82.817 eV per cell
E above lowest polymorph: 0 meV/atom

=====

Below is a relaxed structure of SrGd2, with properties calculated at the PBE-GGA level.

Lattice parameters (Å, degrees): 15.984 15.984 15.984 90.00 90.00 90.00
Space group Fd-3m (No. 227, origin choice 2)
Symmetry-distinct sites (fractional):
Sr 0.125 0.125 0.125 [8 per cell]
Gd 0.000 0.000 0.000 [16 per cell]

calculated volume: 4084 Å³ per cell
E_tot: -26.729 eV per cell
E above lowest polymorph: 2337 meV/atom

=====

Below is a relaxed structure of SrGdTa, with properties calculated at the PBE-GGA level.

Lattice parameters (Å, degrees): 7.482 7.482 7.482 90.00 90.00 90.00
Space group F-43m (No. 216)
Symmetry-distinct sites (fractional):
Sr 0.000 0.000 0.000 [4 per cell]
Gd 0.250 0.250 0.250 [4 per cell]
Ta 0.000 0.000 0.500 [4 per cell]

calculated volume: 419 Å³ per cell
E_tot: -53.935 eV per cell

=====

Below is a relaxed structure of SrGdTe, with properties calculated at the PBE-GGA level.

Lattice parameters (Å, degrees): 7.478 7.478 7.478 90.00 90.00 90.00
Space group F-43m (No. 216)
Symmetry-distinct sites (fractional):
Sr 0.000 0.000 0.000 [4 per cell]
Gd 0.000 0.000 0.500 [4 per cell]
Te 0.250 0.250 0.750 [4 per cell]

calculated volume: 418 Å³ per cell
E_tot: -44.242 eV per cell

=====

Below is a relaxed structure of SrGdZnTe3, with properties calculated at the PBE-GGA level.

Lattice parameters (Å, degrees): 4.316 15.377 11.285 90.00 90.00 90.00
Space group Cmcm (No. 63)
Symmetry-distinct sites (fractional):
Sr 0.000 0.235 0.250 [4 per cell]
Gd 0.000 0.000 0.000 [4 per cell]
Zn 0.000 0.474 0.750 [4 per cell]
Te 0.000 0.090 0.750 [4 per cell]
Te 0.000 0.359 0.562 [8 per cell]

calculated volume: 749 Å³ per cell
E_tot: -94.037 eV per cell